1.
BaAlGePt3: optimized geometry, GGA-PBE.

Unit cell a=6.9458 b=13.7081 c=5.8585 alpha=90.00 beta=90.00 gamma=90.00
Space group Cmcm (No. 63)
Asymmetric unit:
Ba  0.0000  0.2430  0.2500 x4
Al  0.0000  0.4567  0.7500 x4
Ge  0.0000  0.0984  0.7500 x4
Pt  0.0000  0.2762  0.7500 x4
Pt  0.2173  0.0000  0.0000 x8

Results
The calculation puts the formation enthalpy at 0 K at -0.732 eV/atom. Its total moment is 0.0 μB/cell.

2.
CoCuRh: optimized geometry, GGA-PBE.

Unit cell a=2.6915 b=2.6915 c=10.4423 alpha=90.00 beta=90.00 gamma=90.00
Space group I4mm (No. 107)
Asymmetric unit:
Co  0.0000  0.0000  0.0000 x2
Cu  0.0000  0.0000  0.3400 x2
Rh  0.0000  0.0000  0.6619 x2

Results
The energy above the most stable polymorph in this dataset is 2.02 kJ per mole of atoms. The calculation puts the formation enthalpy at 0 K at 0.099 eV/atom. Its total moment is 4.7 μB/cell.

3.
LiNiCl4: optimized geometry, GGA-PBE.

Unit cell a=3.5381 b=6.1442 c=6.3411 alpha=101.91 beta=100.77 gamma=90.86
Space group P-1 (No. 2)
Asymmetric unit:
Li  0.0000  0.0000  0.0000 x1
Ni  0.5000  0.5000  0.0000 x1
Cl  0.1206  0.3971  0.2163 x2
Cl  0.4254  0.1584  0.7897 x2

Results
As for the uncorrected formation energy: -901 meV/atom. Its total moment is 1.0 μB/cell.

4.
Ba2BePb: optimized geometry, GGA-PBE.

Unit cell a=5.9557 b=5.9557 c=4.1609 alpha=90.00 beta=90.00 gamma=90.00
Space group P4/mmm (No. 123)
Asymmetric unit:
Ba  0.0000  0.5000  0.0000 x2
Be  0.0000  0.0000  0.5000 x1
Pb  0.5000  0.5000  0.5000 x1

Results
The energy above the most stable polymorph in this dataset is 16.17 kJ per mole of atoms. The calculation puts the formation enthalpy at 0 K at 0.080 eV/atom. Its total moment is 0.0 μB/cell.

5.
FeSnPt2: optimized geometry, GGA-PBE.

Unit cell a=3.9525 b=3.9525 c=18.0947 alpha=90.00 beta=90.00 gamma=90.00
Space group I-42d (No. 122)
Asymmetric unit:
Fe  0.0000  0.0000  0.0000 x4
Sn  0.0000  0.0000  0.5000 x4
Pt  0.2361  0.2500  0.1250 x8

Results
The calculation puts the formation enthalpy at 0 K at 0.027 eV/atom. Its total moment is 12.5 μB/cell.